The following is a DFT calculation (PBEsol) of crystalline Li3CdSi at its relaxed geometry.

a = 4.733 Å, b = 4.733 Å, c = 4.733 Å
α = 90.00°, β = 90.00°, γ = 90.00°
Atoms (fractional coordinates):
Si1 0.000 0.000 0.000
Li1 0.000 0.500 0.000
Li2 0.000 0.000 0.500
Li3 0.500 0.000 0.000
Cd1 0.500 0.500 0.500

Summary:
Its space group is Pm-3m, No. 221. The value obtained for the raw formation energy is 157 meV per atom.

***

The following is a DFT calculation (PBEsol) of crystalline LiMgTe at its relaxed geometry.

a = 4.335 Å, b = 4.345 Å, c = 4.345 Å
α = 120.00°, β = 90.00°, γ = 90.00°
Atoms (fractional coordinates):
Mg1 0.653 0.333 0.667
Te1 0.265 0.667 0.333
Li1 0.081 0.000 0.000

Summary:
Its space group is P3m1, No. 156. The value obtained for the raw formation energy is -461 meV per atom.

***

no.,calculated total energy (eV/cell)
1,-12.1
2,-8.6